Entry 1:
## Li9MgCd2 (PBE)

Data for crystalline Li9MgCd2 at its relaxed geometry.

Cell lengths 9.530, 9.530, 3.003 Å; angles 90.00, 90.00, 120.00 degrees
Atoms (fractional coordinates):
Li 0.000 0.500 0.000
Li 0.174 0.349 0.500
Li 0.174 0.826 0.500
Li 0.349 0.174 0.500
Li 0.500 0.000 0.000
Li 0.500 0.500 0.000
Li 0.651 0.826 0.500
Li 0.826 0.174 0.500
Li 0.826 0.651 0.500
Mg 0.000 0.000 0.000
Cd 0.333 0.667 0.000
Cd 0.667 0.333 0.000

Calculated values
The calculation puts the calculated total energy at -1.8017 eV per atom. For the formation energy from the elements, the calculation gives -0.081 eV/atom. The value obtained for the polymorph energy (0 for the lowest one) is 0.038 eV per atom. The density is 2.19 g cm⁻³. The value obtained for the density of states at the Fermi level is 5.76 states/eV per cell. As for the space group: P6/mmm, No. 191.



Entry 2:
## Mn3GaPt (PBE)

Data for crystalline Mn3GaPt at its relaxed geometry.

Cell lengths 4.251, 4.251, 4.251 Å; angles 90.00, 90.00, 90.00 degrees
Atoms (fractional coordinates):
Mn 0.000 0.000 0.500
Mn 0.000 0.500 0.000
Mn 0.500 0.000 0.000
Ga 0.000 0.000 0.000
Pt 0.500 0.500 0.500

Calculated values
The calculation puts the calculated total energy at -5.8428 eV per atom. For the formation energy from the elements, the calculation gives 1.472 eV/atom. The density is 9.28 g cm⁻³. The value obtained for the density of states at the Fermi level is 13.04 states/eV per cell. As for the space group: Pm-3m, No. 221.



Entry 3:
## LiAlC (PBE)

Data for crystalline LiAlC at its relaxed geometry.

Cell lengths 5.487, 5.487, 5.487 Å; angles 146.56, 66.49, 124.36 degrees
Atoms (fractional coordinates):
Li 0.238 0.000 0.238
Li 0.762 0.000 0.762
Al 0.392 0.392 0.000
Al 0.811 0.311 0.500
C 0.092 0.676 0.416
C 0.259 0.676 0.584

Calculated values
The calculation puts the calculated total energy at -4.7159 eV per atom. For the formation energy from the elements, the calculation gives 0.244 eV/atom. The density is 2.06 g cm⁻³. The value obtained for the density of states at the Fermi level is 1.09 states/eV per cell. As for the space group: Imm2, No. 44.



Entry 4:
## Li4SmAg2 (PBE)

Data for crystalline Li4SmAg2 at its relaxed geometry.

Cell lengths 7.963, 7.963, 4.381 Å; angles 90.00, 90.00, 90.00 degrees
Atoms (fractional coordinates):
Li 0.095 0.349 0.000
Li 0.151 0.595 0.500
Li 0.349 0.095 0.000
Li 0.405 0.849 0.500
Li 0.595 0.151 0.500
Li 0.651 0.905 0.000
Li 0.849 0.405 0.500
Li 0.905 0.651 0.000
Sm 0.000 0.000 0.500
Sm 0.500 0.500 0.000
Ag 0.214 0.786 0.000
Ag 0.286 0.286 0.500
Ag 0.714 0.714 0.500
Ag 0.786 0.214 0.000

Calculated values
The calculation puts the calculated total energy at -2.7234 eV per atom. For the formation energy from the elements, the calculation gives -0.141 eV/atom. The density is 4.71 g cm⁻³. The value obtained for the density of states at the Fermi level is 9.05 states/eV per cell. As for the space group: P4_2/mnm, No. 136.



The records above give, respectively, volume values of 19.68, 15.37, 12.37, 19.84 A^3/atom.